No. 1
This record from Alexandria describes Pr3SnGeCl after structural relaxation. The functional is PBE.

Cell lengths 7.6487, 4.2741, 11.4844 Å; angles 90.00, 101.86, 90.00 degrees
Last column: nearest neighbours and their distance in Å.
Fractional positions:
Pr  0.0425  0.2500  0.1570  3 Ge 3.05-3.12, 1 Cl 3.19, 2 Sn 3.32
Pr  0.2276  0.7500  0.4972  3 Cl 2.96-3.06, 3 Sn 3.20-3.22
Pr  0.4514  0.7500  0.8506  3 Ge 3.04-3.10, 1 Cl 3.07, 2 Sn 3.40
Pr  0.5486  0.2500  0.1494  3 Ge 3.04-3.10, 1 Cl 3.07, 2 Sn 3.40
Pr  0.7724  0.2500  0.5028  3 Cl 2.96-3.06, 3 Sn 3.20-3.22
Pr  0.9575  0.7500  0.8430  3 Ge 3.05-3.12, 1 Cl 3.19, 2 Sn 3.32
Sn  0.1508  0.2500  0.6878  7 Pr 3.20-3.40
Sn  0.8492  0.7500  0.3122  7 Pr 3.20-3.40
Ge  0.2674  0.7500  0.0673  6 Pr 3.04-3.12
Ge  0.7326  0.2500  0.9327  6 Pr 3.04-3.12
Cl  0.3816  0.2500  0.3711  5 Pr 2.96-3.19
Cl  0.6184  0.7500  0.6289  5 Pr 2.96-3.19

## Properties
ΔE_f (raw) (eV/atom): -1.01

---

No. 2
This record from Alexandria describes Pr8Ge3Te4Cl after structural relaxation. The functional is PBE.

Cell lengths 8.9351, 8.9351, 8.9351 Å; angles 58.96, 58.96, 58.96 degrees
Last column: nearest neighbours and their distance in Å.
Fractional positions:
Pr  0.2309  0.7476  0.7476  2 Ge 3.00, 1 Cl 3.11, 3 Te 3.17-3.27
Pr  0.2418  0.2418  0.2418  3 Ge 3.03, 3 Te 3.24
Pr  0.2524  0.2524  0.7691  2 Ge 3.00, 1 Cl 3.11, 3 Te 3.17-3.27
Pr  0.2524  0.7691  0.2524  2 Ge 3.00, 1 Cl 3.11, 3 Te 3.17-3.27
Pr  0.7476  0.2309  0.7476  2 Ge 3.00, 1 Cl 3.11, 3 Te 3.17-3.27
Pr  0.7476  0.7476  0.2309  2 Ge 3.00, 1 Cl 3.11, 3 Te 3.17-3.27
Pr  0.7582  0.7582  0.7582  3 Ge 3.03, 3 Te 3.24
Pr  0.7691  0.2524  0.2524  2 Ge 3.00, 1 Cl 3.11, 3 Te 3.17-3.27
Ge  0.0000  0.0000  0.5000  6 Pr 3.00-3.03
Ge  0.0000  0.5000  0.0000  6 Pr 3.00-3.03
Ge  0.5000  0.0000  0.0000  6 Pr 3.00-3.03
Te  0.0000  0.0000  0.0000  6 Pr 3.17
Te  0.0000  0.5000  0.5000  6 Pr 3.24-3.27
Te  0.5000  0.0000  0.5000  6 Pr 3.24-3.27
Te  0.5000  0.5000  0.0000  6 Pr 3.24-3.27
Cl  0.5000  0.5000  0.5000  6 Pr 3.11

## Properties
ΔE_f (raw) (eV/atom): -1.31

---

No. 3
This record from Alexandria describes Pr6Ge2Te3Cl after structural relaxation. The functional is PBE.

Cell lengths 9.9532, 9.9532, 8.9339 Å; angles 103.58, 103.58, 25.47 degrees
Last column: nearest neighbours and their distance in Å.
Fractional positions:
Pr  0.0123  0.0123  0.2563  1 Ge 2.91, 2 Cl 3.14, 2 Te 3.14
Pr  0.3275  0.3275  0.4305  3 Ge 3.03-3.04, 3 Te 3.26-3.28
Pr  0.3299  0.3299  0.8909  2 Ge 2.97, 3 Te 3.19-3.26, 1 Cl 3.21
Pr  0.6701  0.6701  0.1091  2 Ge 2.97, 3 Te 3.19-3.26, 1 Cl 3.21
Pr  0.6725  0.6725  0.5695  3 Ge 3.03-3.04, 3 Te 3.26-3.28
Pr  0.9877  0.9877  0.7437  1 Ge 2.91, 2 Cl 3.14, 2 Te 3.14
Ge  0.1669  0.1669  0.3320  6 Pr 2.91-3.04
Ge  0.8331  0.8331  0.6680  6 Pr 2.91-3.04
Te  0.1614  0.1614  0.8350  6 Pr 3.19-3.28
Te  0.5000  0.5000  0.5000  6 Pr 3.14-3.26
Te  0.8386  0.8386  0.1650  6 Pr 3.19-3.28
Cl  0.5000  0.5000  0.0000  6 Pr 3.14-3.21

## Properties
ΔE_f (raw) (eV/atom): -1.32

---

No. 4
This record from Alexandria describes Pr4GeTeCl2 after structural relaxation. The functional is PBE.

Cell lengths 7.1774, 4.3660, 7.7897 Å; angles 90.00, 110.22, 90.00 degrees
Last column: nearest neighbours and their distance in Å.
Fractional positions:
Pr  0.2390  0.0000  0.2202  2 Ge 2.94, 3 Cl 2.95-3.19, 1 Te 3.21
Pr  0.2552  0.5000  0.7830  1 Ge 2.89, 2 Cl 2.94, 2 Te 3.19
Pr  0.7448  0.5000  0.2170  1 Ge 2.89, 2 Cl 2.94, 2 Te 3.19
Pr  0.7610  0.0000  0.7798  2 Ge 2.94, 3 Cl 2.95-3.19, 1 Te 3.21
Ge  0.0000  0.5000  0.0000  6 Pr 2.89-2.94
Te  0.0000  0.0000  0.5000  6 Pr 3.19-3.21
Cl  0.5000  0.0000  0.0000  6 Pr 2.94-2.95
Cl  0.5000  0.5000  0.5000  6 Pr 3.19-3.26

## Properties
ΔE_f (raw) (eV/atom): -1.35

---

No. 5
This record from Alexandria describes PrYGeCl after structural relaxation. The functional is PBE.

Cell lengths 5.8568, 4.9165, 8.6045 Å; angles 90.00, 90.00, 90.00 degrees
Last column: nearest neighbours and their distance in Å.
Fractional positions:
Pr  0.0000  0.0000  0.0000  3 Cl 2.85, 2 Ge 2.93
Pr  0.0000  0.5000  0.5000  3 Cl 2.85, 2 Ge 2.93
Y  0.5000  0.0000  0.6688  3 Ge 2.85, 2 Cl 2.93
Y  0.5000  0.5000  0.1688  3 Ge 2.85, 2 Cl 2.93
Ge  0.5000  0.0000  0.0005  3 Y 2.85, 2 Pr 2.93
Ge  0.5000  0.5000  0.5005  3 Y 2.85, 2 Pr 2.93
Cl  0.0000  0.0000  0.6687  3 Pr 2.85, 2 Y 2.93
Cl  0.0000  0.5000  0.1687  3 Pr 2.85, 2 Y 2.93

## Properties
ΔE_f (raw) (eV/atom): -0.96

---

No. 6
This record from Alexandria describes Ge2PtCl after structural relaxation. The functional is PBE.

Cell lengths 4.0631, 4.0631, 20.4184 Å; angles 90.00, 90.00, 120.00 degrees
Last column: nearest neighbours and their distance in Å.
Fractional positions:
Ge  0.0000  0.0000  0.1197  1 Cl 2.44, 3 Pt 2.53
Ge  0.0000  0.0000  0.8803  1 Cl 2.44, 3 Pt 2.53
Ge  0.3333  0.6667  0.5469  1 Cl 2.44, 3 Pt 2.53
Ge  0.3333  0.6667  0.7864  1 Cl 2.44, 3 Pt 2.53
Ge  0.6667  0.3333  0.2136  1 Cl 2.44, 3 Pt 2.53
Ge  0.6667  0.3333  0.4531  1 Cl 2.44, 3 Pt 2.53
Pt  0.0000  0.0000  0.5000  6 Ge 2.53
Pt  0.3333  0.6667  0.1667  6 Ge 2.53
Pt  0.6667  0.3333  0.8333  6 Ge 2.53
Cl  0.0000  0.0000  0.0000  2 Ge 2.44
Cl  0.3333  0.6667  0.6667  2 Ge 2.44
Cl  0.6667  0.3333  0.3333  2 Ge 2.44

## Properties
E above lowest polymorph (meV/atom): 0
ΔE_f (raw) (eV/atom): -0.43

---

No. 7
This record from Alexandria describes Ge3PtCl after structural relaxation. The functional is PBE.

Cell lengths 4.8182, 4.8182, 4.8182 Å; angles 90.00, 90.00, 90.00 degrees
Last column: nearest neighbours and their distance in Å.
Fractional positions:
Ge  0.0000  0.0000  0.5000  2 Cl 2.41
Ge  0.0000  0.5000  0.0000  2 Cl 2.41
Ge  0.5000  0.0000  0.0000  2 Cl 2.41
Pt  0.5000  0.5000  0.5000  12 Ge 3.41
Cl  0.0000  0.0000  0.0000  6 Ge 2.41

## Properties
E above lowest polymorph (meV/atom): 732
ΔE_f (raw) (eV/atom): 0.92

---

No. 8
This record from Alexandria describes Ge3PtCl after structural relaxation. The functional is PBE.

Cell lengths 4.9703, 4.9703, 4.9703 Å; angles 90.00, 90.00, 90.00 degrees
Last column: nearest neighbours and their distance in Å.
Fractional positions:
Ge  0.0000  0.0000  0.5000  2 Pt 2.49
Ge  0.0000  0.5000  0.0000  2 Pt 2.49
Ge  0.5000  0.0000  0.0000  2 Pt 2.49
Pt  0.0000  0.0000  0.0000  6 Ge 2.49
Cl  0.5000  0.5000  0.5000  12 Ge 3.51

## Properties
E above lowest polymorph (meV/atom): 0
ΔE_f (raw) (eV/atom): 0.19

---

No. 9
This record from Alexandria describes Ge2PtCl after structural relaxation. The functional is PBE.

Cell lengths 5.8474, 5.8474, 12.5839 Å; angles 90.00, 90.00, 90.00 degrees
Last column: nearest neighbours and their distance in Å.
Fractional positions:
Ge  0.1821  0.2500  0.1250  2 Pt 2.40
Ge  0.2500  0.6821  0.3750  2 Pt 2.40
Ge  0.2500  0.8179  0.8750  2 Pt 2.40
Ge  0.3179  0.2500  0.6250  2 Pt 2.40
Ge  0.6821  0.7500  0.6250  2 Pt 2.40
Ge  0.7500  0.1821  0.8750  2 Pt 2.40
Ge  0.7500  0.3179  0.3750  2 Pt 2.40
Ge  0.8179  0.7500  0.1250  2 Pt 2.40
Pt  0.0000  0.0000  0.0000  4 Ge 2.40
Pt  0.0000  0.5000  0.2500  4 Ge 2.40
Pt  0.5000  0.0000  0.7500  4 Ge 2.40
Pt  0.5000  0.5000  0.5000  4 Ge 2.40
Cl  0.0000  0.0000  0.5000  4 Ge 2.84
Cl  0.0000  0.5000  0.7500  4 Ge 2.84
Cl  0.5000  0.0000  0.2500  4 Ge 2.84
Cl  0.5000  0.5000  0.0000  4 Ge 2.84

## Properties
E above lowest polymorph (meV/atom): 279
ΔE_f (raw) (eV/atom): -0.15

---

No. 10
This record from Alexandria describes GePt2Cl after structural relaxation. The functional is PBE.

Cell lengths 6.4161, 6.4161, 6.4161 Å; angles 90.00, 90.00, 90.00 degrees
Last column: nearest neighbours and their distance in Å.
Fractional positions:
Ge  0.0000  0.0000  0.0000  8 Pt 2.78
Ge  0.0000  0.5000  0.5000  8 Pt 2.78
Ge  0.5000  0.0000  0.5000  8 Pt 2.78
Ge  0.5000  0.5000  0.0000  8 Pt 2.78
Pt  0.2500  0.2500  0.2500  4 Ge 2.78, 4 Cl 2.78
Pt  0.2500  0.2500  0.7500  4 Ge 2.78, 4 Cl 2.78
Pt  0.2500  0.7500  0.2500  4 Ge 2.78, 4 Cl 2.78
Pt  0.2500  0.7500  0.7500  4 Ge 2.78, 4 Cl 2.78
Pt  0.7500  0.2500  0.2500  4 Ge 2.78, 4 Cl 2.78
Pt  0.7500  0.2500  0.7500  4 Ge 2.78, 4 Cl 2.78
Pt  0.7500  0.7500  0.2500  4 Ge 2.78, 4 Cl 2.78
Pt  0.7500  0.7500  0.7500  4 Ge 2.78, 4 Cl 2.78
Cl  0.0000  0.0000  0.5000  8 Pt 2.78
Cl  0.0000  0.5000  0.0000  8 Pt 2.78
Cl  0.5000  0.0000  0.0000  8 Pt 2.78
Cl  0.5000  0.5000  0.5000  8 Pt 2.78

## Properties
E above lowest polymorph (meV/atom): 110
ΔE_f (raw) (eV/atom): 0.23